# 1
# PPb2F

A PBEsol-optimized structure of PPb2F (meta-GGA SCAN, Alexandria via LeMat-Bulk).

The structure in CIF format:
```
data_PPb2F
_chemical_formula_sum 'P4 Pb8 F4'
_cell_length_a 6.8902
_cell_length_b 6.8902
_cell_length_c 6.8902
_cell_angle_alpha 90.00
_cell_angle_beta 90.00
_cell_angle_gamma 90.00
_symmetry_space_group_name_H-M 'F m -3 m'
_symmetry_Int_Tables_number 225
_symmetry_space_group_name_Hall '-F 4 2 3'
loop_
_atom_site_label
_atom_site_fract_x
_atom_site_fract_y
_atom_site_fract_z
_atom_site_occupancy
P1 0.0000 0.0000 0.0000 1
Pb1 0.2500 0.2500 0.2500 1
F1 0.0000 0.0000 0.5000 1
```

=====

# 2
# P2PbSF

A PBEsol-optimized structure of P2PbSF (meta-GGA SCAN, Alexandria via LeMat-Bulk).

The structure in CIF format:
```
data_P2PbSF
_chemical_formula_sum 'P2 Pb1 S1 F1'
_cell_length_a 5.2473
_cell_length_b 5.2473
_cell_length_c 5.0505
_cell_angle_alpha 90.00
_cell_angle_beta 90.00
_cell_angle_gamma 90.00
_symmetry_space_group_name_H-M 'P 4/m m m'
_symmetry_Int_Tables_number 123
_symmetry_space_group_name_Hall '-P 4 2'
loop_
_atom_site_label
_atom_site_fract_x
_atom_site_fract_y
_atom_site_fract_z
_atom_site_occupancy
P1 0.0000 0.5000 0.0000 1
Pb1 0.0000 0.0000 0.0000 1
S1 0.0000 0.0000 0.5000 1
F1 0.5000 0.5000 0.5000 1
```

=====

# 3
# PPdF2

A PBEsol-optimized structure of PPdF2 (meta-GGA SCAN, Alexandria via LeMat-Bulk).

The structure in CIF format:
```
data_PPdF2
_chemical_formula_sum 'P4 Pd4 F8'
_cell_length_a 5.7444
_cell_length_b 5.7444
_cell_length_c 5.7444
_cell_angle_alpha 90.00
_cell_angle_beta 90.00
_cell_angle_gamma 90.00
_symmetry_space_group_name_H-M 'F m -3 m'
_symmetry_Int_Tables_number 225
_symmetry_space_group_name_Hall '-F 4 2 3'
loop_
_atom_site_label
_atom_site_fract_x
_atom_site_fract_y
_atom_site_fract_z
_atom_site_occupancy
P1 0.0000 0.0000 0.0000 1
Pd1 0.0000 0.0000 0.5000 1
F1 0.2500 0.2500 0.2500 1
```

=====

no.,density (Mg/m³),formation energy from raw total energies (eV/atom)
1,9.429,-0.667
2,3.824,1.201
3,6.146,-0.160